No. 1
Compound: La4SbI5
Source: the Alexandria database
Functional: GGA-PBE
Structure: optimized geometry

Calculated values
Space group ... C2/m (12)
Magnetic moment ... 0.00 μB/f.u.
Energy relative to the elements, uncorrected ... -1.347 eV per atom

a = 4.4716 Å, b = 9.3987 Å, c = 10.1454 Å
α = 101.45°, β = 102.73°, γ = 90.00°
Fractional positions:
I (0.1686, 0.3290, 0.3372)
I (0.8303, 0.1847, 0.6606)
I (0.8314, 0.6710, 0.6628)
I (0.1697, 0.8153, 0.3394)
I (0.5000, 0.5000, 0.0000)
La (0.3409, 0.9290, 0.6818)
La (0.0006, 0.2293, 0.0012)
La (0.9994, 0.7707, 0.9988)
La (0.6591, 0.0710, 0.3182)
Sb (0.5000, 0.0000, 0.0000)

No. 2
Compound: PaAlReRh
Source: the Alexandria database
Functional: GGA-PBE
Structure: optimized geometry

Calculated values
Space group ... F-43m (216)
Energy of formation ... -148 kJ/mol of formula units
Magnetic moment ... 0.00 μB/f.u.

a = 4.6523 Å, b = 4.6523 Å, c = 4.6523 Å
α = 60.00°, β = 60.00°, γ = 60.00°
Fractional positions:
Al (0.5000, 0.5000, 0.5000)
Re (0.2500, 0.2500, 0.2500)
Rh (0.7500, 0.7500, 0.7500)
Pa (0.0000, 0.0000, 0.0000)

No. 3
Compound: Cs3Tl3HgBr8
Source: the Alexandria database
Functional: GGA-PBE
Structure: optimized geometry

Calculated values
Space group ... R-3m (166)
Magnetic moment ... 0.00 μB/f.u.
Energy relative to the elements, uncorrected ... -1.136 eV per atom

a = 10.0180 Å, b = 10.0215 Å, c = 9.6695 Å
α = 121.23°, β = 90.00°, γ = 119.99°
Fractional positions:
Br (0.1954, 0.9854, 0.2754)
Br (0.2098, 0.4196, 0.7245)
Br (0.7579, 0.5158, 0.7735)
Br (0.7900, 0.9854, 0.2754)
Br (0.2421, 0.4842, 0.2265)
Br (0.8046, 0.0146, 0.7246)
Br (0.2100, 0.0146, 0.7246)
Br (0.7902, 0.5804, 0.2755)
Tl (0.5000, 0.5000, 0.0000)
Tl (0.0000, 0.0000, 0.0000)
Tl (0.0000, 0.5000, 0.0000)
Cs (0.5000, 0.5000, 0.5000)
Cs (0.5000, 0.0000, 0.5000)
Cs (0.0000, 0.5000, 0.5000)
Hg (0.0000, 0.0000, 0.5000)

No. 4
Compound: Ta4PdC
Source: the Alexandria database
Functional: GGA-PBE
Structure: optimized geometry

Calculated values
Space group ... P2_1/c (14)
Energy of formation ... 15 kJ/mol of formula units
Magnetic moment ... 0.00 μB/f.u.

a = 5.4005 Å, b = 5.6375 Å, c = 6.5612 Å
α = 90.00°, β = 85.13°, γ = 90.00°
Fractional positions:
Ta (0.8545, 0.1425, 0.3962)
Ta (0.0827, 0.3893, 0.7936)
Ta (0.5827, 0.1107, 0.7936)
Ta (0.1455, 0.8575, 0.6038)
Ta (0.6455, 0.6425, 0.6038)
Ta (0.9173, 0.6107, 0.2064)
Ta (0.3545, 0.3575, 0.3962)
Ta (0.4173, 0.8893, 0.2064)
Pd (0.0000, 0.0000, 0.0000)
Pd (0.5000, 0.5000, 0.0000)
C (0.5000, 0.0000, 0.5000)
C (0.0000, 0.5000, 0.5000)